1.
Ce2AlOs after structural relaxation. Source: Alexandria, functional PBE. Values from VASP.

```
&SYSTEM
  ibrav = 0, nat = 4, ntyp = 3
/
ATOMIC_SPECIES
Os 190.23 Os.upf
Al 26.98 Al.upf
Ce 140.12 Ce.upf
ATOMIC_POSITIONS angstrom
Os 2.1127 0.0000 0.0000
Al 2.1127 2.2242 2.2242
Ce 0.0000 0.0000 2.2242
Ce 0.0000 2.2242 0.0000
CELL_PARAMETERS angstrom
4.2253 0.0000 0.0000
0.0000 4.4483 0.0000
0.0000 0.0000 4.4483
```

Properties
Energy of formation from the pure elements ... -205.7 meV/atom
Volume ... 20.9 Å³ per atom
SG ... P4/mmm, No. 123


2.
CeAl2Os2 after structural relaxation. Source: Alexandria, functional PBE. Values from VASP.

```
&SYSTEM
  ibrav = 0, nat = 10, ntyp = 3
/
ATOMIC_SPECIES
Ce 140.12 Ce.upf
Al 26.98 Al.upf
Os 190.23 Os.upf
ATOMIC_POSITIONS angstrom
Ce -2.2195 -2.6534 2.0103
Ce -7.9057 -0.1109 2.7650
Al 0.6333 -0.7258 1.7815
Al -3.8594 -0.0541 1.3498
Al -0.2160 -1.8906 -0.6935
Al -6.2658 -2.7102 3.4254
Os -5.4872 -1.9645 1.1501
Os -8.6600 -2.7437 4.2628
Os -1.4652 -0.0206 0.5124
Os -4.6379 -0.7998 3.6251
CELL_PARAMETERS angstrom
-0.4320 -3.7811 -1.3869
1.2665 -1.4517 3.5631
-10.9597 2.4685 2.5991
```

Properties
Energy of formation from the pure elements ... -308.7 meV/atom
Volume ... 18.3 Å³ per atom
SG ... I4/mmm, No. 139


3.
Ce5Al2Os4 after structural relaxation. Source: Alexandria, functional PBE. Values from VASP.

```
&SYSTEM
  ibrav = 0, nat = 11, ntyp = 3
/
ATOMIC_SPECIES
Ce 140.12 Ce.upf
Al 26.98 Al.upf
Os 190.23 Os.upf
ATOMIC_POSITIONS angstrom
Ce 0.0000 5.4130 2.7404
Ce 1.9088 -1.3803 6.5960
Ce 0.0000 1.7595 2.9939
Ce 1.9088 0.0000 0.0000
Ce 1.9088 2.2732 6.3426
Al 1.9088 3.4621 1.0758
Al 0.0000 0.5706 8.2607
Os 1.9088 3.6385 3.6268
Os 0.0000 4.7055 -0.3253
Os 0.0000 0.3942 5.7096
Os 1.9088 -0.6728 9.6618
CELL_PARAMETERS angstrom
3.8177 0.0000 0.0000
0.0000 6.7500 -0.4715
-1.9088 -2.7174 9.8080
```

Properties
Energy of formation from the pure elements ... -171.7 meV/atom
Volume ... 22.5 Å³ per atom
SG ... C2/m, No. 12


4.
Ce2Al3Os after structural relaxation. Source: Alexandria, functional PBE. Values from VASP.

```
&SYSTEM
  ibrav = 0, nat = 6, ntyp = 3
/
ATOMIC_SPECIES
Ce 140.12 Ce.upf
Al 26.98 Al.upf
Os 190.23 Os.upf
ATOMIC_POSITIONS angstrom
Ce -1.5644 2.7917 -0.0878
Ce -3.8317 -3.2126 -0.8245
Al -2.6981 -0.2104 -0.4562
Al -1.4077 -2.1267 1.0136
Al -1.7785 0.3766 2.0524
Os 0.0000 0.0000 0.0000
CELL_PARAMETERS angstrom
-0.7415 5.0067 2.0776
-1.8393 -1.1740 -5.0171
-2.8154 -4.2535 2.0272
```

Properties
Energy of formation from the pure elements ... -454.0 meV/atom
Volume ... 19.4 Å³ per atom
SG ... R-3m, No. 166


5.
Ce8AlOs2 after structural relaxation. Source: Alexandria, functional PBE. Values from VASP.

```
&SYSTEM
  ibrav = 0, nat = 11, ntyp = 3
/
ATOMIC_SPECIES
Ce 140.12 Ce.upf
Al 26.98 Al.upf
Os 190.23 Os.upf
ATOMIC_POSITIONS angstrom
Ce -4.5816 2.2485 5.3008
Ce -3.6887 4.3790 1.9750
Ce -2.8168 -0.1301 0.2720
Ce -5.5526 -0.7367 -3.7698
Ce -5.0764 -1.8129 -0.3618
Ce -5.1088 2.5745 0.2896
Ce -4.4957 -0.5654 6.3343
Ce -5.8604 0.0213 2.7197
Al -6.2479 -2.5811 4.5487
Os -4.8085 0.8265 -1.8202
Os -3.6876 1.4963 2.6935
CELL_PARAMETERS angstrom
-2.3328 4.0890 -2.5925
-4.0316 -4.0611 -2.8897
-2.2898 0.9254 8.5125
```

Properties
Energy of formation from the pure elements ... -122.1 meV/atom
Volume ... 25.1 Å³ per atom
SG ... P1, No. 1
Energy above the lowest structure with this stoichiometry ... 0 meV per atom


6.
Ce8Al2Os after structural relaxation. Source: Alexandria, functional PBE. Values from VASP.

```
&SYSTEM
  ibrav = 0, nat = 11, ntyp = 3
/
ATOMIC_SPECIES
Ce 140.12 Ce.upf
Al 26.98 Al.upf
Os 190.23 Os.upf
ATOMIC_POSITIONS angstrom
Ce 0.0000 1.7020 6.1675
Ce 2.5541 5.0723 2.3057
Ce 2.5541 3.7813 4.8010
Ce 0.0000 1.9619 0.0461
Ce 0.0000 -0.0070 3.0852
Ce 0.0000 -1.2980 5.5805
Ce 2.5541 2.0723 1.7187
Ce 2.5541 1.8125 7.8401
Al 2.5541 0.4302 4.8673
Al 0.0000 3.3442 3.0190
Os 2.5541 0.0000 0.0000
CELL_PARAMETERS angstrom
5.1082 0.0000 0.0000
0.0000 6.6852 -0.0443
-2.5541 -2.9108 7.9305
```

Properties
Energy of formation from the pure elements ... -162.3 meV/atom
Volume ... 24.6 Å³ per atom
SG ... C2/m, No. 12


7.
Ce2AlOs after structural relaxation. Source: Alexandria, functional PBE. Values from VASP.

```
&SYSTEM
  ibrav = 0, nat = 16, ntyp = 3
/
ATOMIC_SPECIES
Ce 140.12 Ce.upf
Al 26.98 Al.upf
Os 190.23 Os.upf
ATOMIC_POSITIONS angstrom
Ce 4.3031 6.4292 8.9189
Ce 1.4227 0.0864 0.6886
Ce 1.4297 3.3385 5.4971
Ce 4.2961 3.1770 4.1104
Ce 4.2822 3.1718 0.6825
Ce 1.4435 3.3438 8.9250
Ce 1.4372 0.0894 4.1186
Ce 4.2886 6.4262 5.4889
Al 1.4190 2.7419 2.4008
Al 4.3068 3.7736 7.2067
Al 4.2989 0.5215 2.4003
Al 1.4268 5.9940 7.2072
Os 0.0017 1.6323 7.2144
Os 5.7241 4.8832 2.3931
Os 2.8710 1.6272 7.2116
Os 2.8548 4.8883 2.3959
CELL_PARAMETERS angstrom
5.7373 -0.0049 -0.0072
-0.0059 6.5102 -0.0076
-0.0056 0.0102 9.6223
```

Properties
Energy of formation from the pure elements ... -254.9 meV/atom
Volume ... 22.5 Å³ per atom
SG ... P-1, No. 2


8.
Ce6Al2Os after structural relaxation. Source: Alexandria, functional PBE. Values from VASP.

```
&SYSTEM
  ibrav = 0, nat = 9, ntyp = 3
/
ATOMIC_SPECIES
Ce 140.12 Ce.upf
Al 26.98 Al.upf
Os 190.23 Os.upf
ATOMIC_POSITIONS angstrom
Ce -5.2341 -1.4710 -0.1241
Ce -2.8045 1.7544 1.9315
Ce 0.5429 4.7293 2.6317
Ce -1.8556 -1.1655 0.3136
Ce -3.5061 0.9632 5.1860
Ce -6.5341 -2.9982 2.7090
Al -0.7662 2.3658 4.2612
Al -3.9655 -1.0666 2.7367
Os -8.0852 -3.2618 0.3577
CELL_PARAMETERS angstrom
-1.8431 2.4754 -1.7058
-7.1642 -4.4998 1.2107
2.4330 5.7993 5.7871
```

Properties
Energy of formation from the pure elements ... -184.7 meV/atom
Volume ... 24.8 Å³ per atom
SG ... P-62m, No. 189